Here is a relaxed TlIn2S crystal from Alexandria via LeMat-Bulk. Energies are from PBE.

Polymorph energy (0 for the lowest one) ... 1.10 eV/f.u.
Crystal system ... cubic
Formation energy (no corrections) ... 0.061 eV per atom
Magnetic moment ... 0.000 μB per cell
Symmetry ... No. 225

```
TlIn2S
1.0
0.0000 3.7588 3.7588
3.7588 0.0000 3.7588
3.7588 3.7588 0.0000
In Tl S
2 1 1
direct
0.2500 0.2500 0.2500
0.7500 0.7500 0.7500
0.5000 0.5000 0.5000
0.0000 0.0000 0.0000
```